Record 1
Here is an optimized crystal structure of CaHf2CuI from Alexandria. Energies are from PBE.

abc: 4.932 4.932 5.658
angles: 90.00 90.00 90.00
Fractional coordinates of all 5 atoms:
Ca 0.000 0.000 0.000
Hf 0.000 0.500 0.500
Hf 0.500 0.000 0.500
Cu 0.000 0.000 0.500
I 0.500 0.500 0.000

Calculated values
- E (eV/atom) = -5.0994
- formation energy from raw total energies (meV per atom) = 412
- crystal system = tetragonal

=====

Record 2
Here is an optimized crystal structure of Nd2HoHg from Alexandria. Energies are from PBE.

abc: 10.982 10.982 10.982
angles: 19.40 19.40 19.40
Fractional coordinates of all 4 atoms:
Nd 0.000 0.000 0.000
Nd 0.178 0.178 0.178
Ho 0.756 0.756 0.756
Hg 0.589 0.589 0.589

Calculated values
- energy above the most stable polymorph in this dataset (meV per atom) = 96
- calculated formation energy (meV per atom) = -132.5
- E (eV/atom) = -3.7363
- crystal system = trigonal

=====

Record 3
Here is an optimized crystal structure of Ag2PbCl6 from Alexandria. Energies are from PBE.

abc: 9.115 9.115 7.587
angles: 105.94 105.94 63.94
Fractional coordinates of all 18 atoms:
Ag 0.121 0.371 0.226
Ag 0.371 0.121 0.726
Ag 0.629 0.879 0.274
Ag 0.879 0.629 0.774
Pb 0.180 0.820 0.250
Pb 0.820 0.180 0.750
Cl 0.078 0.752 0.846
Cl 0.087 0.336 0.761
Cl 0.248 0.922 0.654
Cl 0.324 0.486 0.290
Cl 0.336 0.087 0.261
Cl 0.486 0.324 0.790
Cl 0.514 0.676 0.210
Cl 0.664 0.913 0.739
Cl 0.676 0.514 0.710
Cl 0.752 0.078 0.346
Cl 0.913 0.664 0.239
Cl 0.922 0.248 0.154

Calculated values
- E (eV/atom) = -2.8715
- formation energy from raw total energies (meV per atom) = -595
- crystal system = monoclinic

=====

Record 4
Here is an optimized crystal structure of Sm3ThN4 from Alexandria. Energies are from PBE.

abc: 5.099 5.099 5.099
angles: 90.00 90.00 90.00
Fractional coordinates of all 8 atoms:
Sm 0.000 0.000 0.500
Sm 0.000 0.500 0.000
Sm 0.500 0.000 0.000
Th 0.500 0.500 0.500
N 0.000 0.000 0.000
N 0.000 0.500 0.500
N 0.500 0.000 0.500
N 0.500 0.500 0.000

Calculated values
- energy above the most stable polymorph in this dataset (meV per atom) = 12
- E (eV/atom) = -8.3938
- formation energy from raw total energies (meV per atom) = -1534
- crystal system = cubic

=====

Record 5
Here is an optimized crystal structure of Ti3FeTe6 from Alexandria. Energies are from PBE.

abc: 7.973 7.973 7.973
angles: 87.62 87.62 87.62
Fractional coordinates of all 20 atoms:
Ti 0.070 0.212 0.588
Ti 0.212 0.588 0.070
Ti 0.412 0.930 0.788
Ti 0.588 0.070 0.212
Ti 0.788 0.412 0.930
Ti 0.930 0.788 0.412
Fe 0.000 0.000 0.000
Fe 0.500 0.500 0.500
Te 0.090 0.872 0.694
Te 0.128 0.306 0.910
Te 0.190 0.529 0.417
Te 0.306 0.910 0.128
Te 0.417 0.190 0.529
Te 0.471 0.583 0.810
Te 0.529 0.417 0.190
Te 0.583 0.810 0.471
Te 0.694 0.090 0.872
Te 0.810 0.471 0.583
Te 0.872 0.694 0.090
Te 0.910 0.128 0.306

Calculated values
- E (eV/atom) = -5.4579
- formation energy from raw total energies (meV per atom) = -358
- crystal system = trigonal

=====

Record 6
Here is an optimized crystal structure of Tl2BRuF from Alexandria. Energies are from PBE.

abc: 5.063 5.063 3.286
angles: 90.00 90.00 90.00
Fractional coordinates of all 5 atoms:
Tl 0.000 0.500 0.000
Tl 0.500 0.000 0.000
B 0.000 0.000 0.000
Ru 0.500 0.500 0.500
F 0.000 0.000 0.500

Calculated values
- E (eV/atom) = -3.9072
- formation energy from raw total energies (meV per atom) = 604
- crystal system = tetragonal

=====

Record 7
Here is an optimized crystal structure of Os2RhCl from Alexandria. Energies are from PBE.

abc: 2.780 3.753 6.099
angles: 90.00 90.00 90.00
Fractional coordinates of all 4 atoms:
Os 0.000 0.000 0.207
Os 0.000 0.000 0.793
Rh 0.500 0.500 0.000
Cl 0.000 0.500 0.500

Calculated values
- energy above the most stable polymorph in this dataset (meV per atom) = 282
- E (eV/atom) = -7.1971
- formation energy from raw total energies (meV per atom) = 717
- crystal system = orthorhombic

=====

Record 8
Here is an optimized crystal structure of Tb3Sm2TmS6 from Alexandria. Energies are from PBE.

abc: 8.797 8.797 7.918
angles: 102.94 102.94 25.81
Fractional coordinates of all 12 atoms:
Tb 0.000 0.000 0.000
Tb 0.331 0.331 0.667
Tb 0.669 0.669 0.333
Sm 0.332 0.332 0.164
Sm 0.668 0.668 0.836
Tm 0.000 0.000 0.500
S 0.163 0.163 0.576
S 0.164 0.164 0.088
S 0.498 0.498 0.742
S 0.502 0.502 0.258
S 0.836 0.836 0.912
S 0.837 0.837 0.424

Calculated values
- E (eV/atom) = -6.3802
- formation energy from raw total energies (meV per atom) = -2000
- crystal system = monoclinic

=====

Record 9
Here is an optimized crystal structure of LaTbSmN3 from Alexandria. Energies are from PBE.

abc: 6.181 3.603 9.280
angles: 90.00 101.72 90.00
Fractional coordinates of all 12 atoms:
La 0.151 0.250 0.198
La 0.849 0.750 0.802
Tb 0.353 0.250 0.860
Tb 0.647 0.750 0.140
Sm 0.271 0.750 0.545
Sm 0.729 0.250 0.455
N 0.037 0.250 0.673
N 0.257 0.750 0.987
N 0.469 0.750 0.346
N 0.531 0.250 0.654
N 0.743 0.250 0.013
N 0.963 0.750 0.327

Calculated values
- E (eV/atom) = -7.8979
- formation energy from raw total energies (meV per atom) = -1356
- crystal system = monoclinic

=====

Record 10
Here is an optimized crystal structure of Li4Hg4Pd3 from Alexandria. Energies are from PBE.

abc: 14.731 14.731 14.731
angles: 168.60 162.41 21.01
Fractional coordinates of all 11 atoms:
Li 0.043 0.043 0.000
Li 0.325 0.825 0.500
Li 0.675 0.175 0.500
Li 0.957 0.957 0.000
Hg 0.221 0.221 0.000
Hg 0.413 0.913 0.500
Hg 0.587 0.087 0.500
Hg 0.779 0.779 0.000
Pd 0.132 0.632 0.500
Pd 0.500 0.500 0.000
Pd 0.868 0.368 0.500

Calculated values
- energy above the most stable polymorph in this dataset (meV per atom) = 34
- calculated formation energy (meV per atom) = -282.3
- E (eV/atom) = -2.5042
- crystal system = orthorhombic